1.
## ZnS (GGA-PBE)

Data for an optimized crystal structure of ZnS.

VASP energy = -3.51 eV/atom
SG = P6_3mc

extended XYZ file:
```
28
Lattice="-3.348 1.826 0.398 0.606 -3.314 1.831 16.076 21.971 34.458" Properties=species:S:1:pos:R:3 pbc="T T T"
S 0.149 -0.424 3.199
S -0.021 2.858 5.182
S 3.158 4.315 6.768
S 3.594 4.284 10.582
S 3.424 7.566 12.566
S 6.602 9.023 14.152
S 7.038 8.991 17.966
S 6.869 12.275 19.951
S 9.335 12.130 22.889
S 11.195 15.301 23.997
S 10.313 16.982 27.334
S 12.780 16.838 30.273
S 14.640 20.008 31.381
S 13.758 21.690 34.717
Zn -0.712 -1.601 1.353
Zn -0.882 1.682 3.337
Zn 2.297 3.139 4.923
Zn 2.733 3.108 8.738
Zn 2.563 6.390 10.721
Zn 5.742 7.847 12.307
Zn 6.178 7.816 16.122
Zn 6.008 11.098 18.105
Zn 8.474 10.954 21.044
Zn 10.335 14.124 22.153
Zn 9.453 15.806 25.490
Zn 11.919 15.662 28.428
Zn 13.779 18.832 29.536
Zn 12.898 20.514 32.873
```

***

2.
## Ta (GGA-PBE)

Data for an optimized crystal structure of Ta.

DFT formation energy = 0.088 eV per atom
SG = I-43m

extended XYZ file:
```
29
Lattice="5.134 5.134 -5.134 5.134 -5.134 5.134 -5.134 -5.134 -5.134" Properties=species:S:1:pos:R:3 pbc="T T T"
Ta 0.000 0.000 0.000
Ta 1.929 1.929 -1.929
Ta 4.754 1.446 -1.446
Ta 1.929 -1.929 1.929
Ta 4.754 -1.446 1.446
Ta 7.406 0.940 -0.940
Ta 7.406 -0.940 0.940
Ta 2.862 -0.940 -0.940
Ta 4.194 2.272 -4.194
Ta 4.194 -4.194 2.272
Ta 5.514 -1.446 -1.446
Ta 1.446 1.446 -4.754
Ta 1.446 -4.754 1.446
Ta 0.940 -0.940 -2.862
Ta 0.940 -2.862 -0.940
Ta -1.929 -1.929 -1.929
Ta 3.688 -0.380 -3.688
Ta 3.688 -3.688 -0.380
Ta -1.446 -1.446 -4.754
Ta -1.446 -4.754 -1.446
Ta 3.205 -3.205 -3.205
Ta 0.940 0.940 -7.406
Ta 0.940 -7.406 0.940
Ta 1.446 -1.446 -5.514
Ta 1.446 -5.514 -1.446
Ta 0.380 -3.688 -3.688
Ta -0.940 -0.940 -7.406
Ta -0.940 -7.406 -0.940
Ta -2.272 -4.194 -4.194
```